No. 1
Compound: YEr2PaN4
Source: the Alexandria database
Functional: PBE
Structure: optimized geometry

Results
The value obtained for the total DFT energy (no corrections) is -72.20 eV/cell. Its symmetry is No. 10. For the total magnetization, the calculation gives 0.0000 μB per atom. For the formation energy without anion corrections, the calculation gives -13.8 eV/f.u. Its volume is 116.97 Å³ per cell.

abc: 3.472 5.976 5.969
angles: 109.20 90.00 90.00
Fractional coordinates of all 8 atoms:
Er  0.500  0.000  0.500
Er  0.000  0.500  0.500
N  0.500  0.244  0.247
N  0.000  0.239  0.755
N  0.500  0.756  0.753
N  0.000  0.761  0.245
Pa  0.000  0.000  0.000
Y  0.500  0.500  0.000

***

No. 2
Compound: ErPa2ZnN5
Source: the Alexandria database
Functional: PBE
Structure: optimized geometry

Results
The value obtained for the total DFT energy (no corrections) is -154.85 eV/cell. Its symmetry is No. 36. For the total magnetization, the calculation gives 0.0000 μB per atom. For the formation energy without anion corrections, the calculation gives -11.0 eV/f.u. Its volume is 252.74 Å³ per cell.

abc: 3.475 6.955 10.800
angles: 90.00 90.00 104.47
Fractional coordinates of all 18 atoms:
Zn  0.497  0.994  0.989
Zn  0.503  0.006  0.489
Pa  0.865  0.729  0.184
Pa  0.121  0.242  0.260
Pa  0.135  0.271  0.684
Pa  0.879  0.758  0.760
N  0.296  0.593  0.328
N  0.353  0.706  0.056
N  0.701  0.402  0.150
N  0.480  0.959  0.800
N  0.040  0.080  0.074
N  0.960  0.920  0.574
N  0.704  0.407  0.828
N  0.520  0.041  0.300
N  0.299  0.598  0.650
N  0.647  0.294  0.556
Er  0.197  0.394  0.983
Er  0.803  0.606  0.483

***

No. 3
Compound: ErZr3Pa2N6
Source: the Alexandria database
Functional: PBE
Structure: optimized geometry

Results
The value obtained for the total DFT energy (no corrections) is -119.52 eV/cell. Its symmetry is No. 12. For the total magnetization, the calculation gives 0.0000 μB per atom. For the formation energy without anion corrections, the calculation gives -20.4 eV/f.u. Its volume is 162.31 Å³ per cell.

abc: 3.361 6.758 7.534
angles: 103.01 102.89 90.00
Fractional coordinates of all 12 atoms:
Pa  0.833  0.667  0.667
Pa  0.167  0.333  0.333
Zr  0.500  0.500  0.000
Zr  0.836  0.170  0.671
Zr  0.164  0.830  0.329
Er  0.500  0.000  0.000
N  0.001  0.256  0.001
N  0.332  0.921  0.664
N  0.668  0.079  0.336
N  0.999  0.744  0.999
N  0.662  0.594  0.324
N  0.338  0.406  0.676

***

No. 4
Compound: Er6Pb3N
Source: the Alexandria database
Functional: PBE
Structure: optimized geometry

Results
The value obtained for the total DFT energy (no corrections) is -103.94 eV/cell. Its symmetry is No. 36. For the total magnetization, the calculation gives 0.0005 μB per atom. For the formation energy without anion corrections, the calculation gives -5.1 eV/f.u. Its volume is 585.58 Å³ per cell.

abc: 6.780 9.526 9.526
angles: 107.87 90.00 90.00
Fractional coordinates of all 20 atoms:
Pb  0.009  0.742  0.965
Pb  0.395  0.408  0.592
Pb  0.509  0.258  0.035
Pb  0.009  0.035  0.258
Pb  0.509  0.965  0.742
Pb  0.895  0.592  0.408
N  0.529  0.779  0.221
N  0.029  0.221  0.779
Er  0.697  0.891  0.422
Er  0.226  0.734  0.266
Er  0.197  0.422  0.891
Er  0.698  0.279  0.345
Er  0.027  0.079  0.921
Er  0.198  0.345  0.279
Er  0.726  0.266  0.734
Er  0.527  0.921  0.079
Er  0.697  0.578  0.109
Er  0.197  0.109  0.578
Er  0.698  0.655  0.721
Er  0.198  0.721  0.655

***

No. 5
Compound: Er2Pb2N
Source: the Alexandria database
Functional: PBE
Structure: optimized geometry

Results
The value obtained for the total DFT energy (no corrections) is -28.87 eV/cell. Its symmetry is No. 12. For the total magnetization, the calculation gives 0.0000 μB per atom. For the formation energy without anion corrections, the calculation gives -4.0 eV/f.u. Its volume is 116.30 Å³ per cell.

abc: 3.501 3.499 11.148
angles: 81.01 80.97 59.98
Fractional coordinates of all 5 atoms:
Er  0.294  0.793  0.619
Er  0.706  0.207  0.381
Pb  0.454  0.950  0.141
Pb  0.546  0.050  0.859
N  0.000  0.500  0.500

***

No. 6
Compound: Er4Pb2N
Source: the Alexandria database
Functional: PBE
Structure: optimized geometry

Results
The value obtained for the total DFT energy (no corrections) is -39.94 eV/cell. Its symmetry is No. 139. The energy above the most stable polymorph in this dataset is 0 meV per atom. For the total magnetization, the calculation gives 0.0000 μB per atom. For the formation energy without anion corrections, the calculation gives -5.9 eV/f.u. Its volume is 176.04 Å³ per cell.

abc: 4.704 4.704 8.624
angles: 74.18 74.18 90.00
Fractional coordinates of all 7 atoms:
Er  0.500  0.000  0.000
Er  0.000  0.500  0.000
Er  0.155  0.155  0.689
Er  0.845  0.845  0.311
Pb  0.645  0.645  0.710
Pb  0.355  0.355  0.290
N  0.000  0.000  0.000